SrPuMoO6 after structural relaxation. Source: Alexandria, functional PBE with a Hubbard U.

## Properties
- E (eV for the cell shown) = -149.68
- D(E_F) (states/eV/atom) = 0.9509

Cell: 5.568 5.568 10.540 Å, 90.00 90.00 120.00°
Each line ends with the local moment (μB).
Positions (direct):
O 0.020 0.382 0.146  -0.07
O 0.638 0.020 0.854  -0.07
O 0.980 0.618 0.854  -0.07
O 0.020 0.638 0.354  -0.07
O 0.382 0.020 0.646  -0.07
O 0.980 0.362 0.646  -0.07
O 0.618 0.980 0.354  -0.07
O 0.638 0.618 0.646  -0.07
O 0.362 0.382 0.354  -0.07
O 0.618 0.638 0.146  -0.07
O 0.362 0.980 0.146  -0.07
O 0.382 0.362 0.854  -0.07
Sr 0.000 0.000 0.000  0.00
Sr 0.000 0.000 0.500  0.00
Pu 0.333 0.667 0.750  3.56
Pu 0.667 0.333 0.250  3.56
Mo 0.333 0.667 0.250  0.87
Mo 0.667 0.333 0.750  0.87